Entry 1:
Sm6TlFe2: relaxed, PBE-GGA.

Cell lengths 9.6662, 9.9744, 10.2372 Å; angles 90.00, 90.00, 90.00 degrees
Space group Immm (No. 71)
One atom of each set of equivalent atoms:
Sm 0.0000 0.2154 0.2251 [8 per cell]
Sm 0.2026 0.5000 0.1888 [8 per cell]
Sm 0.2090 0.3116 0.5000 [8 per cell]
Tl 0.0000 0.0000 0.0000 [2 per cell]
Tl 0.0000 0.0000 0.5000 [2 per cell]
Fe 0.0000 0.3900 0.0000 [4 per cell]
Fe 0.0000 0.5000 0.3938 [4 per cell]

Output
The calculation puts the formation energy at -0.08 eV per atom. As for the total energy: -5.366 eV/atom. The total magnetic moment is 1.8 μB per formula unit.

Entry 2:
Sm2TmAg6: relaxed, PBE-GGA.

Cell lengths 8.2808, 8.2808, 3.4526 Å; angles 90.00, 90.00, 120.00 degrees
Space group P6/mmm (No. 191)
One atom of each set of equivalent atoms:
Sm 0.3333 0.6667 0.0000 [2 per cell]
Tm 0.0000 0.0000 0.0000 [1 per cell]
Ag 0.0000 0.3311 0.5000 [6 per cell]

Output
The calculation puts the formation energy at -0.25 eV per atom. As for the total energy: -3.692 eV/atom. The total magnetic moment is 0.0 μB per formula unit.

Entry 3:
Cs5As2Se6: relaxed, PBE-GGA.

Cell lengths 5.2835, 14.6870, 14.6423 Å; angles 90.00, 110.65, 90.00 degrees
Space group P2_1/c (No. 14)
One atom of each set of equivalent atoms:
Cs 0.0000 0.0000 0.0000 [2 per cell]
Cs 0.0579 0.0685 0.3101 [4 per cell]
Cs 0.2434 0.7204 0.9929 [4 per cell]
As 0.4838 0.1807 0.7241 [4 per cell]
Se 0.0233 0.6669 0.6991 [4 per cell]
Se 0.3451 0.0751 0.5917 [4 per cell]
Se 0.4113 0.1689 0.1535 [4 per cell]

Output
For the formation energy from raw total energies, the calculation gives -80.2 kJ per mole of atoms. As for the total energy: -3.483 eV/atom. The total magnetic moment is 0.0 μB per formula unit.

The highest total magnetic moment belongs to which entry? Sm6TlFe2

Number 3 is which compound? Cs5As2Se6